Entry A
# LiCu5Ni PBE relaxed
# size of the total moment = 0.0 μB/cell
# Fermi-level density of states = 14.31 states/eV per cell
# theoretical density = 7.220 g cm⁻³
data_LiCu5Ni
_cell_length_a 8.8879
_cell_length_b 9.0224
_cell_length_c 4.6555
_cell_angle_alpha 90.00
_cell_angle_beta 109.14
_cell_angle_gamma 90.00
_symmetry_space_group_name_H-M 'C 1 2/c 1'
_symmetry_Int_Tables_number 15
loop_
_symmetry_equiv_pos_as_xyz
'x,y,z'
'-x,-y,-z'
'-x,y,-z+1/2'
'x,-y,z+1/2'
'x+1/2,y+1/2,z'
'-x+1/2,-y+1/2,-z'
'-x+1/2,y+1/2,-z+1/2'
'x+1/2,-y+1/2,z+1/2'
loop_
_atom_site_label
_atom_site_fract_x
_atom_site_fract_y
_atom_site_fract_z
Li1 0.0000 0.0708 0.2500
Cu1 0.0000 0.2402 0.7500
Cu2 0.1533 0.3181 0.3243
Cu3 0.2475 0.4038 0.9017
Ni1 0.0000 0.5000 0.0000

***

Entry B
# LiCu5Ni PBE relaxed
# size of the total moment = 0.0 μB/cell
# Fermi-level density of states = 4.42 states/eV per cell
# theoretical density = 7.074 g cm⁻³
data_LiCu5Ni
_cell_length_a 5.0908
_cell_length_b 7.1173
_cell_length_c 4.9674
_cell_angle_alpha 90.00
_cell_angle_beta 90.00
_cell_angle_gamma 90.00
_symmetry_space_group_name_H-M 'C m m m'
_symmetry_Int_Tables_number 65
_symmetry_space_group_name_Hall '-C 2 2'
loop_
_atom_site_label
_atom_site_fract_x
_atom_site_fract_y
_atom_site_fract_z
Li1 0.0000 0.0000 0.0000
Cu1 0.0000 0.5000 0.0000
Cu2 0.2500 0.2500 0.2570
Ni1 0.0000 0.5000 0.5000

***

Which structure above is the least stable one? entry B is the least stable one.